Record 1
Density functional theory data (GGA+U) for crystalline NaLiVF6 at its relaxed geometry.

Cell lengths 5.165, 5.165, 4.976 Å; angles 90.04, 90.04, 119.17 degrees
Fractional positions:
Na (0.000, 0.000, 0.000)
Li (0.328, 0.672, 0.500)
V (0.665, 0.335, 0.500)
F (0.370, 0.025, 0.712)
F (0.373, 0.352, 0.286)
F (0.645, 0.030, 0.283)
F (0.648, 0.627, 0.714)
F (0.970, 0.355, 0.717)
F (0.975, 0.630, 0.288)

Results
Space group: C2
Crystal system: monoclinic

***

Record 2
Density functional theory data (GGA+U) for crystalline NaLiVF4 at its relaxed geometry.

Cell lengths 6.344, 6.344, 6.344 Å; angles 121.18, 119.64, 89.30 degrees
Fractional positions:
Na (0.500, 0.000, 0.000)
Na (0.500, 0.500, 0.500)
Li (0.108, 0.358, 0.750)
Li (0.892, 0.642, 0.250)
V (0.000, 0.000, 0.000)
V (0.500, 0.000, 0.500)
F (0.229, 0.233, 0.996)
F (0.244, 0.226, 0.482)
F (0.244, 0.762, 0.018)
F (0.262, 0.767, 0.496)
F (0.738, 0.233, 0.504)
F (0.756, 0.238, 0.982)
F (0.756, 0.774, 0.518)
F (0.771, 0.767, 0.004)

Results
Space group: Imma
Crystal system: orthorhombic

***

Record 3
Density functional theory data (GGA+U) for crystalline NaLi2VF6 at its relaxed geometry.

Cell lengths 5.809, 5.809, 5.809 Å; angles 60.00, 60.00, 60.00 degrees
Fractional positions:
Na (0.000, 0.000, 0.000)
Li (0.250, 0.250, 0.250)
Li (0.750, 0.750, 0.750)
V (0.500, 0.500, 0.500)
F (0.262, 0.262, 0.738)
F (0.262, 0.738, 0.262)
F (0.262, 0.738, 0.738)
F (0.738, 0.262, 0.262)
F (0.738, 0.262, 0.738)
F (0.738, 0.738, 0.262)

Results
Space group: Fm-3m
Crystal system: cubic

***

Record 4
Density functional theory data (GGA+U) for crystalline NaLi2VF8 at its relaxed geometry.

Cell lengths 4.755, 6.857, 4.769 Å; angles 90.00, 95.00, 90.00 degrees
Fractional positions:
Na (0.000, 0.000, 0.000)
Li (0.500, 0.186, 0.500)
Li (0.500, 0.814, 0.500)
V (0.000, 0.500, 0.000)
F (0.201, 0.310, 0.197)
F (0.201, 0.690, 0.197)
F (0.254, 0.500, 0.741)
F (0.309, 0.000, 0.689)
F (0.691, 0.000, 0.311)
F (0.746, 0.500, 0.259)
F (0.799, 0.310, 0.803)
F (0.799, 0.690, 0.803)

Results
Space group: P2/m
Crystal system: monoclinic

***

Record 5
Density functional theory data (GGA+U) for crystalline NaLi2VF6 at its relaxed geometry.

Cell lengths 5.273, 5.280, 5.702 Å; angles 90.04, 117.26, 119.93 degrees
Fractional positions:
Na (0.000, 0.000, 0.000)
Li (0.560, 0.277, 0.844)
Li (0.583, 0.797, 0.375)
V (0.978, 0.491, 0.466)
F (0.112, 0.436, 0.208)
F (0.114, 0.236, 0.678)
F (0.447, 0.878, 0.678)
F (0.532, 0.100, 0.207)
F (0.779, 0.685, 0.215)
F (0.791, 0.559, 0.675)

Results
Space group: P1
Crystal system: triclinic

***

Record 6
Density functional theory data (GGA+U) for crystalline NaLiWF2 at its relaxed geometry.

Cell lengths 4.271, 4.271, 6.759 Å; angles 90.00, 90.00, 90.00 degrees
Fractional positions:
Na (0.000, 0.000, 0.000)
Li (0.500, 0.500, 0.000)
W (0.000, 0.000, 0.500)
F (0.000, 0.500, 0.500)
F (0.500, 0.000, 0.500)

Results
Space group: P4/mmm
Crystal system: tetragonal

***

Record 7
Density functional theory data (GGA+U) for crystalline Na2Li3WF12 at its relaxed geometry.

Cell lengths 8.842, 8.842, 8.842 Å; angles 43.05, 43.05, 43.05 degrees
Fractional positions:
Na (0.058, 0.058, 0.058)
Na (0.942, 0.942, 0.942)
Li (0.000, 0.500, 0.500)
Li (0.500, 0.000, 0.500)
Li (0.500, 0.500, 0.000)
W (0.500, 0.500, 0.500)
F (0.155, 0.155, 0.591)
F (0.155, 0.591, 0.155)
F (0.182, 0.592, 0.592)
F (0.408, 0.408, 0.818)
F (0.408, 0.818, 0.408)
F (0.409, 0.845, 0.845)
F (0.591, 0.155, 0.155)
F (0.592, 0.182, 0.592)
F (0.592, 0.592, 0.182)
F (0.818, 0.408, 0.408)
F (0.845, 0.409, 0.845)
F (0.845, 0.845, 0.409)

Results
Space group: R-3m
Crystal system: trigonal

***

Record 8
Density functional theory data (GGA+U) for crystalline NaLi2WF8 at its relaxed geometry.

Cell lengths 5.865, 5.865, 5.865 Å; angles 107.46, 107.46, 113.57 degrees
Fractional positions:
Na (0.000, 0.000, 0.000)
Li (0.250, 0.750, 0.500)
Li (0.500, 0.500, 0.000)
W (0.750, 0.250, 0.500)
F (0.015, 0.346, 0.331)
F (0.015, 0.684, 0.669)
F (0.116, 0.335, 0.782)
F (0.316, 0.985, 0.331)
F (0.553, 0.335, 0.218)
F (0.654, 0.985, 0.669)
F (0.665, 0.447, 0.782)
F (0.665, 0.884, 0.218)

Results
Space group: I-4m2
Crystal system: tetragonal

***

Record 9
Density functional theory data (GGA+U) for crystalline NaLiWF6 at its relaxed geometry.

Cell lengths 5.348, 5.348, 10.045 Å; angles 90.00, 90.00, 120.00 degrees
Fractional positions:
Na (0.000, 0.000, 0.000)
Na (0.000, 0.000, 0.500)
Li (0.333, 0.667, 0.250)
Li (0.667, 0.333, 0.750)
W (0.333, 0.667, 0.750)
W (0.667, 0.333, 0.250)
F (0.010, 0.360, 0.639)
F (0.010, 0.650, 0.861)
F (0.350, 0.360, 0.861)
F (0.350, 0.990, 0.639)
F (0.360, 0.010, 0.139)
F (0.360, 0.350, 0.361)
F (0.640, 0.650, 0.639)
F (0.640, 0.990, 0.861)
F (0.650, 0.010, 0.361)
F (0.650, 0.640, 0.139)
F (0.990, 0.350, 0.139)
F (0.990, 0.640, 0.361)

Results
Space group: P-31c
Crystal system: trigonal

***

no.,spin magnetization (Bohr magnetons per cell),volume (Å³ per cell),electronic total energy (eV/atom)
1,1.000,115.90,-5.276
2,6.000,179.34,-5.341
3,2.000,138.62,-4.952
4,0.000,154.91,-4.945
5,2.000,116.75,-5.285
6,3.766,123.31,-3.728
7,1.011,292.03,-4.560
8,1.000,154.73,-5.096
9,4.000,248.82,-5.231